## 1
The following is a DFT calculation (GGA-PBE) of a relaxed NaTlAs2Se crystal.

Values from the calculation:
- Crystal system: tetragonal
- Space-group type: P4/mmm, No. 123

Unit cell a=5.1823 b=5.1823 c=5.2610 alpha=90.00 beta=90.00 gamma=90.00
With the nearest neighbours (Å) after each atom.
Fractional positions:
Na 0.0000 0.0000 0.0000  4 As 2.59, 2 Se 2.63
Tl 0.5000 0.5000 0.5000  4 Se 3.66, 8 As 3.69
As 0.0000 0.5000 0.0000  2 Na 2.59
As 0.5000 0.0000 0.0000  2 Na 2.59
Se 0.0000 0.0000 0.5000  2 Na 2.63

## 2
The following is a DFT calculation (GGA-PBE) of a relaxed NaTlAs2Se crystal.

Values from the calculation:
- Crystal system: tetragonal
- Space-group type: P4/mmm, No. 123

Unit cell a=5.4023 b=5.4023 c=5.6358 alpha=90.00 beta=90.00 gamma=90.00
With the nearest neighbours (Å) after each atom.
Fractional positions:
Na 0.0000 0.0000 0.0000  4 Se 3.82, 8 As 3.90
Tl 0.5000 0.5000 0.5000  4 As 2.70, 2 Se 2.82
As 0.0000 0.5000 0.5000  2 Tl 2.70
As 0.5000 0.0000 0.5000  2 Tl 2.70
Se 0.5000 0.5000 0.0000  2 Tl 2.82

Which structure is most stable? 2, by 0.114 eV/atom over the runner-up.

## 1
The following is a DFT calculation (GGA-PBE) of a relaxed NaTlAsSe2 crystal.

Values from the calculation:
- Crystal system: tetragonal
- Space-group type: P4/mmm, No. 123

Unit cell a=5.5537 b=5.5537 c=5.3760 alpha=90.00 beta=90.00 gamma=90.00
With the nearest neighbours (Å) after each atom.
Fractional positions:
Na 0.0000 0.0000 0.0000  8 Se 3.86, 4 As 3.93
Tl 0.5000 0.5000 0.5000  2 As 2.69, 4 Se 2.78
As 0.5000 0.5000 0.0000  2 Tl 2.69
Se 0.0000 0.5000 0.5000  2 Tl 2.78
Se 0.5000 0.0000 0.5000  2 Tl 2.78

## 2
The following is a DFT calculation (GGA-PBE) of a relaxed NaTlAsSe2 crystal.

Values from the calculation:
- Crystal system: tetragonal
- Space-group type: P4/mmm, No. 123

Unit cell a=5.3229 b=5.3229 c=5.1308 alpha=90.00 beta=90.00 gamma=90.00
With the nearest neighbours (Å) after each atom.
Fractional positions:
Na 0.0000 0.0000 0.0000  2 As 2.57, 4 Se 2.66
Tl 0.5000 0.5000 0.5000  8 Se 3.70, 4 As 3.76
As 0.0000 0.0000 0.5000  2 Na 2.57
Se 0.0000 0.5000 0.0000  2 Na 2.66
Se 0.5000 0.0000 0.0000  2 Na 2.66

Which structure is most stable? 1, by 0.156 eV/atom over the runner-up.

## 1
The following is a DFT calculation (GGA-PBE) of a relaxed NaVAs2Se crystal.

Values from the calculation:
- Crystal system: tetragonal
- Space-group type: P4/mmm, No. 123

Unit cell a=4.8939 b=4.8939 c=4.9736 alpha=90.00 beta=90.00 gamma=90.00
With the nearest neighbours (Å) after each atom.
Fractional positions:
Na 0.0000 0.0000 0.0000  4 As 2.45, 2 Se 2.49
V 0.5000 0.5000 0.5000  4 Se 3.46, 8 As 3.49
As 0.0000 0.5000 0.0000  2 Na 2.45
As 0.5000 0.0000 0.0000  2 Na 2.45
Se 0.0000 0.0000 0.5000  2 Na 2.49

## 2
The following is a DFT calculation (GGA-PBE) of a relaxed NaVAs2Se crystal.

Values from the calculation:
- Crystal system: tetragonal
- Space-group type: P4/mmm, No. 123

Unit cell a=4.8217 b=4.8217 c=4.8875 alpha=90.00 beta=90.00 gamma=90.00
With the nearest neighbours (Å) after each atom.
Fractional positions:
Na 0.0000 0.0000 0.0000  4 Se 3.41, 8 As 3.43
V 0.5000 0.5000 0.5000  4 As 2.41, 2 Se 2.44
As 0.0000 0.5000 0.5000  2 V 2.41
As 0.5000 0.0000 0.5000  2 V 2.41
Se 0.5000 0.5000 0.0000  2 V 2.44

Which structure is most stable? 2, by 1.491 eV/atom over the runner-up.

## 1
The following is a DFT calculation (GGA-PBE) of a relaxed NaVAsSe2 crystal.

Values from the calculation:
- Crystal system: tetragonal
- Space-group type: P4/mmm, No. 123

Unit cell a=5.0304 b=5.0304 c=4.8221 alpha=90.00 beta=90.00 gamma=90.00
With the nearest neighbours (Å) after each atom.
Fractional positions:
Na 0.0000 0.0000 0.0000  2 As 2.41, 4 Se 2.52
V 0.5000 0.5000 0.5000  8 Se 3.48, 4 As 3.56
As 0.0000 0.0000 0.5000  2 Na 2.41
Se 0.0000 0.5000 0.0000  2 Na 2.52
Se 0.5000 0.0000 0.0000  2 Na 2.52

## 2
The following is a DFT calculation (GGA-PBE) of a relaxed NaVAsSe2 crystal.

Values from the calculation:
- Crystal system: tetragonal
- Space-group type: P4/mmm, No. 123

Unit cell a=4.8964 b=4.8964 c=4.8271 alpha=90.00 beta=90.00 gamma=90.00
With the nearest neighbours (Å) after each atom.
Fractional positions:
Na 0.0000 0.0000 0.0000  8 Se 3.44, 4 As 3.46
V 0.5000 0.5000 0.5000  2 As 2.41, 4 Se 2.45
As 0.5000 0.5000 0.0000  2 V 2.41
Se 0.0000 0.5000 0.5000  2 V 2.45
Se 0.5000 0.0000 0.5000  2 V 2.45

Which structure is most stable? 2, by 1.486 eV/atom over the runner-up.